VASP calculation (PBE) on an optimized crystal structure of Zn2SnIN4.

Values from the calculation:
The total energy comes out at -4.41 eV/atom.

Cell and atoms, written as POSCAR:
```
Zn2SnIN4
1.0
-2.435 2.435 4.948
2.435 -2.435 4.948
2.435 2.435 -4.948
I N Sn Zn
1 4 1 2
Cartesian
0.000 0.000 0.000
-1.087 1.112 3.634
1.112 1.087 6.261
1.322 1.347 1.313
3.522 1.322 -1.313
2.435 0.000 2.474
0.000 0.000 4.948
0.000 2.435 2.474
```